Below is an optimized crystal structure of Pm6CuIr2Br3, with properties calculated at the PBE level.

Geometry as POSCAR:
```
Pm6CuIr2Br3
1.0
3.589 -6.214 0.000
3.589 6.214 0.000
-2.395 0.000 7.745
Pm Cu Ir Br
6 1 2 3
direct
0.092 0.434 0.803
0.223 0.223 0.197
0.434 0.092 0.803
0.566 0.908 0.197
0.777 0.777 0.803
0.908 0.566 0.197
0.500 0.500 0.000
0.167 0.833 0.000
0.833 0.167 0.000
0.000 0.000 0.500
0.333 0.667 0.500
0.667 0.333 0.500
```

Theoretical density, g/cm3: 7.49
VASP energy, eV for the cell shown: -67.0